Entry 1:
# Y2MgHg

Crystalline Y2MgHg at its relaxed geometry (PBEsol, Alexandria via LeMat-Bulk).

a b c (Å): 3.610 5.197 6.284
angles (deg): 114.43 106.69 90.00
Atoms (fractional coordinates):
Hg1 0.515 0.515 0.030
Mg1 0.218 0.718 0.435
Y1 0.772 0.272 0.544
Y2 0.996 0.996 0.991

Computed properties:
Magnetic moment (μB per cell): 0.4
Space group: Imm2 (44)
Energy above the most stable polymorph in this dataset (eV per atom): 0.064
Formation energy (eV per atom): -0.291
Uncorrected energy (eV per cell): -17.09



Entry 2:
# YMgHg

Crystalline YMgHg at its relaxed geometry (PBEsol, Alexandria via LeMat-Bulk).

a b c (Å): 3.494 4.843 4.843
angles (deg): 120.00 90.00 90.00
Atoms (fractional coordinates):
Y1 0.500 0.667 0.333
Mg1 0.000 0.333 0.667
Hg1 0.000 0.000 0.000

Computed properties:
Magnetic moment (μB per cell): 0.0
Space group: P-6m2 (187)
Formation energy (eV per atom): -0.400
Uncorrected energy (eV per cell): -10.31



Entry 3:
# Y2MgHg

Crystalline Y2MgHg at its relaxed geometry (PBEsol, Alexandria via LeMat-Bulk).

a b c (Å): 3.832 5.129 5.129
angles (deg): 90.00 90.00 90.00
Atoms (fractional coordinates):
Y1 0.000 0.500 0.000
Y2 0.000 0.000 0.500
Hg1 0.500 0.500 0.500
Mg1 0.500 0.000 0.000

Computed properties:
Magnetic moment (μB per cell): 0.0
Space group: P4/mmm (123)
Energy above the most stable polymorph in this dataset (eV per atom): 0.000
Formation energy (eV per atom): -0.355
Uncorrected energy (eV per cell): -17.35



Entry 4:
# YMgHg2

Crystalline YMgHg2 at its relaxed geometry (PBEsol, Alexandria via LeMat-Bulk).

a b c (Å): 3.471 3.471 7.362
angles (deg): 90.00 90.00 90.00
Atoms (fractional coordinates):
Y1 0.500 0.500 0.500
Hg1 0.000 0.000 0.231
Hg2 0.000 0.000 0.769
Mg1 0.500 0.500 0.000

Computed properties:
Magnetic moment (μB per cell): 0.1
Space group: P4/mmm (123)
Formation energy (eV per atom): -0.484
Uncorrected energy (eV per cell): -11.61



Entry 5:
# YMg2Hg2

Crystalline YMg2Hg2 at its relaxed geometry (PBEsol, Alexandria via LeMat-Bulk).

a b c (Å): 4.217 4.217 7.121
angles (deg): 107.22 107.22 90.00
Atoms (fractional coordinates):
Mg1 0.750 0.250 0.500
Mg2 0.250 0.750 0.500
Y1 0.000 0.000 0.000
Hg1 0.607 0.607 0.214
Hg2 0.393 0.393 0.786

Computed properties:
Magnetic moment (μB per cell): 0.0
Space group: I4/mmm (139)
Formation energy (eV per atom): -0.369
Uncorrected energy (eV per cell): -13.24



Entry 6:
# YMgHg2

Crystalline YMgHg2 at its relaxed geometry (PBEsol, Alexandria via LeMat-Bulk).

a b c (Å): 3.688 3.688 8.642
angles (deg): 77.68 77.68 60.00
Atoms (fractional coordinates):
Y1 0.000 0.000 0.000
Hg1 0.245 0.245 0.264
Hg2 0.755 0.755 0.736
Mg1 0.500 0.500 0.500

Computed properties:
Magnetic moment (μB per cell): 0.0
Space group: R-3m (166)
Formation energy (eV per atom): -0.301
Uncorrected energy (eV per cell): -10.88



Entry 7:
# YMgHg2

Crystalline YMgHg2 at its relaxed geometry (PBEsol, Alexandria via LeMat-Bulk).

a b c (Å): 3.821 3.821 6.445
angles (deg): 90.00 90.00 90.00
Atoms (fractional coordinates):
Hg1 0.500 0.500 0.278
Hg2 0.000 0.000 0.995
Y1 0.500 0.500 0.772
Mg1 0.000 0.000 0.454

Computed properties:
Magnetic moment (μB per cell): 0.0
Space group: P4mm (99)
Formation energy (eV per atom): -0.324
Uncorrected energy (eV per cell): -10.97



Entry 8:
# MgZnHg2

Crystalline MgZnHg2 at its relaxed geometry (PBEsol, Alexandria via LeMat-Bulk).

a b c (Å): 4.212 4.212 5.313
angles (deg): 113.35 113.35 90.00
Atoms (fractional coordinates):
Hg1 0.750 0.250 0.500
Hg2 0.000 0.000 0.000
Zn1 0.250 0.750 0.500
Mg1 0.500 0.500 0.000

Computed properties:
Magnetic moment (μB per cell): 0.0
Space group: I-4m2 (119)
Formation energy (eV per atom): -0.084
Uncorrected energy (eV per cell): -4.77